(1)
Compound: HoTm2Hg9
Source: Alexandria via LeMat-Bulk
Functional: GGA-PBE
Structure: relaxed

Cell lengths 4.4757, 4.4757, 14.4134 Å; angles 90.00, 90.00, 90.00 degrees
Closest atoms and distances in Å follow each position.
Fractional coordinates of all 12 atoms:
Ho 0.0000 0.0000 0.0000  12 Hg 3.16-3.29
Tm 0.0000 0.0000 0.3340  12 Hg 3.16-3.28
Tm 0.0000 0.0000 0.6660  12 Hg 3.16-3.28
Hg 0.0000 0.5000 0.1676  8 Hg 3.16-3.29, 2 Tm 3.28, 2 Ho 3.29
Hg 0.0000 0.5000 0.5000  8 Hg 3.16-3.28, 4 Tm 3.28
Hg 0.0000 0.5000 0.8324  8 Hg 3.16-3.29, 2 Tm 3.28, 2 Ho 3.29
Hg 0.5000 0.0000 0.1676  8 Hg 3.16-3.29, 2 Tm 3.28, 2 Ho 3.29
Hg 0.5000 0.0000 0.5000  8 Hg 3.16-3.28, 4 Tm 3.28
Hg 0.5000 0.0000 0.8324  8 Hg 3.16-3.29, 2 Tm 3.28, 2 Ho 3.29
Hg 0.5000 0.5000 0.0000  4 Ho 3.16, 8 Hg 3.29
Hg 0.5000 0.5000 0.3333  4 Tm 3.16, 8 Hg 3.27-3.28
Hg 0.5000 0.5000 0.6667  4 Tm 3.16, 8 Hg 3.27-3.28

Calculated values
As for the crystal system: tetragonal. The symmetry is P4/mmm (123). The formation energy from the elements comes out at -0.289 eV/atom. For the calculated volume, the calculation gives 288.7 Å³ per cell.

(2)
Compound: Ho3TmHg4
Source: Alexandria via LeMat-Bulk
Functional: GGA-PBE
Structure: relaxed

Cell lengths 3.6959, 3.6959, 14.8223 Å; angles 90.00, 90.00, 90.00 degrees
Closest atoms and distances in Å follow each position.
Fractional coordinates of all 8 atoms:
Ho 0.0000 0.0000 0.0000  8 Hg 3.20
Ho 0.0000 0.0000 0.2512  8 Hg 3.21-3.22
Ho 0.0000 0.0000 0.7488  8 Hg 3.21-3.22
Tm 0.0000 0.0000 0.5000  8 Hg 3.18
Hg 0.5000 0.5000 0.1252  8 Ho 3.20-3.21
Hg 0.5000 0.5000 0.3776  4 Tm 3.18, 4 Ho 3.22
Hg 0.5000 0.5000 0.6224  4 Tm 3.18, 4 Ho 3.22
Hg 0.5000 0.5000 0.8748  8 Ho 3.20-3.21

Calculated values
As for the crystal system: tetragonal. The symmetry is P4/mmm (123). The polymorph energy (0 for the lowest one) comes out at 0.000 eV per atom. The formation energy from the elements comes out at -0.479 eV/atom. For the calculated volume, the calculation gives 202.5 Å³ per cell.

(3)
Compound: Ho12Tm5Hg2
Source: Alexandria via LeMat-Bulk
Functional: GGA-PBE
Structure: relaxed

Cell lengths 9.2273, 9.2273, 8.5566 Å; angles 99.79, 99.79, 55.00 degrees
Closest atoms and distances in Å follow each position.
Fractional coordinates of all 19 atoms:
Ho 0.0224 0.0224 0.1902  2 Hg 3.10, 1 Ho 3.20
Ho 0.1314 0.5303 0.7980  4 Ho 3.15-3.50, 4 Tm 3.18-3.44
Ho 0.1749 0.5742 0.2270  1 Hg 3.01, 1 Tm 3.36
Ho 0.4258 0.8251 0.7730  1 Hg 3.01, 1 Tm 3.36
Ho 0.4293 0.4293 0.5858  3 Ho 2.97-3.15, 2 Hg 3.19
Ho 0.4697 0.8686 0.2020  4 Ho 3.15-3.50, 4 Tm 3.18-3.44
Ho 0.5303 0.1314 0.7980  4 Ho 3.15-3.50, 4 Tm 3.18-3.44
Ho 0.5707 0.5707 0.4142  3 Ho 2.97-3.15, 2 Hg 3.19
Ho 0.5742 0.1749 0.2270  1 Hg 3.01, 1 Tm 3.36
Ho 0.8251 0.4258 0.7730  1 Hg 3.01, 1 Tm 3.36
Ho 0.8686 0.4697 0.2020  4 Ho 3.15-3.50, 4 Tm 3.18-3.44
Ho 0.9776 0.9776 0.8098  2 Hg 3.10, 1 Ho 3.20
Tm 0.2061 0.2061 0.0060  8 Ho 3.18-3.47
Tm 0.2061 0.2061 0.4935  6 Ho 3.44-3.59, 2 Hg 3.68
Tm 0.5000 0.5000 0.0000  10 Ho 3.42-3.52
Tm 0.7939 0.7939 0.5065  6 Ho 3.44-3.59, 2 Hg 3.68
Tm 0.7939 0.7939 0.9940  8 Ho 3.18-3.47
Hg 0.1693 0.8307 0.5000  1 Hg 2.88, 6 Ho 3.01-3.19
Hg 0.8307 0.1693 0.5000  1 Hg 2.88, 6 Ho 3.01-3.19

Calculated values
As for the crystal system: monoclinic. The symmetry is C2/m (12). The formation energy from the elements comes out at 0.078 eV/atom. For the calculated volume, the calculation gives 585.7 Å³ per cell.

(4)
Compound: HoTm7Hg4
Source: Alexandria via LeMat-Bulk
Functional: GGA-PBE
Structure: relaxed

Cell lengths 7.7419, 7.7419, 9.6097 Å; angles 119.66, 119.66, 42.59 degrees
Closest atoms and distances in Å follow each position.
Fractional coordinates of all 12 atoms:
Ho 0.0000 0.0000 0.0000  2 Tm 2.81
Tm 0.0675 0.0675 0.4066  3 Hg 3.03-3.16, 1 Tm 3.28
Tm 0.2084 0.2084 0.8843  4 Hg 3.19-3.54, 5 Tm 3.38-3.52
Tm 0.2659 0.2659 0.3133  4 Hg 2.91-3.08
Tm 0.5000 0.5000 0.0000  2 Ho 2.81, 4 Hg 2.93-3.06
Tm 0.7341 0.7341 0.6867  4 Hg 2.91-3.08
Tm 0.7916 0.7916 0.1157  4 Hg 3.19-3.54, 5 Tm 3.38-3.52
Tm 0.9325 0.9325 0.5934  3 Hg 3.03-3.16, 1 Tm 3.28
Hg 0.3112 0.3112 0.6610  6 Tm 2.93-3.19, 1 Hg 3.12
Hg 0.4533 0.4533 0.2759  4 Tm 2.91-3.16, 1 Hg 3.12
Hg 0.5467 0.5467 0.7241  4 Tm 2.91-3.16, 1 Hg 3.12
Hg 0.6888 0.6888 0.3390  6 Tm 2.93-3.19, 1 Hg 3.12

Calculated values
As for the crystal system: monoclinic. The symmetry is C2/m (12). The formation energy from the elements comes out at -0.079 eV/atom. For the calculated volume, the calculation gives 330.2 Å³ per cell.

(5)
Compound: Ho4Tm9Hg11
Source: Alexandria via LeMat-Bulk
Functional: GGA-PBE
Structure: relaxed

Cell lengths 13.5502, 13.5502, 3.5250 Å; angles 90.00, 90.00, 109.27 degrees
Closest atoms and distances in Å follow each position.
Fractional coordinates of all 24 atoms:
Ho 0.0786 0.2480 0.0000  6 Hg 3.16-3.26, 3 Tm 3.17-3.52, 2 Ho 3.52
Ho 0.2480 0.0786 0.0000  6 Hg 3.16-3.26, 3 Tm 3.17-3.52, 2 Ho 3.52
Ho 0.7520 0.9214 0.0000  6 Hg 3.16-3.26, 3 Tm 3.17-3.52, 2 Ho 3.52
Ho 0.9214 0.7520 0.0000  6 Hg 3.16-3.26, 3 Tm 3.17-3.52, 2 Ho 3.52
Tm 0.0000 0.0000 0.0000  4 Ho 3.17, 4 Hg 3.36, 2 Tm 3.52
Tm 0.1203 0.6489 0.0000  8 Hg 3.15-3.45, 1 Ho 3.42, 2 Tm 3.52
Tm 0.2966 0.4784 0.0000  8 Hg 3.15-3.23, 1 Ho 3.52, 3 Tm 3.52-3.53
Tm 0.3511 0.8797 0.0000  8 Hg 3.15-3.45, 1 Ho 3.42, 2 Tm 3.52
Tm 0.4784 0.2966 0.0000  8 Hg 3.15-3.23, 1 Ho 3.52, 3 Tm 3.52-3.53
Tm 0.5216 0.7034 0.0000  8 Hg 3.15-3.23, 1 Ho 3.52, 3 Tm 3.52-3.53
Tm 0.6489 0.1203 0.0000  8 Hg 3.15-3.45, 1 Ho 3.42, 2 Tm 3.52
Tm 0.7034 0.5216 0.0000  8 Hg 3.15-3.23, 1 Ho 3.52, 3 Tm 3.52-3.53
Tm 0.8797 0.3511 0.0000  8 Hg 3.15-3.45, 1 Ho 3.42, 2 Tm 3.52
Hg 0.0887 0.4454 0.5000  2 Ho 3.17, 6 Tm 3.18-3.23, 3 Hg 3.21-3.52
Hg 0.1292 0.8708 0.5000  4 Ho 3.26, 6 Tm 3.36-3.45, 2 Hg 3.52
Hg 0.2809 0.2809 0.5000  4 Tm 3.15, 4 Ho 3.16, 3 Hg 3.44-3.52
Hg 0.3211 0.6789 0.5000  8 Tm 3.15-3.16, 2 Hg 3.52
Hg 0.4454 0.0887 0.5000  2 Ho 3.17, 6 Tm 3.18-3.23, 3 Hg 3.21-3.52
Hg 0.5000 0.5000 0.5000  8 Tm 3.20, 4 Hg 3.44-3.52
Hg 0.5546 0.9113 0.5000  2 Ho 3.17, 6 Tm 3.18-3.23, 3 Hg 3.21-3.52
Hg 0.6789 0.3211 0.5000  8 Tm 3.15-3.16, 2 Hg 3.52
Hg 0.7191 0.7191 0.5000  4 Tm 3.15, 4 Ho 3.16, 3 Hg 3.44-3.52
Hg 0.8708 0.1292 0.5000  4 Ho 3.26, 6 Tm 3.36-3.45, 2 Hg 3.52
Hg 0.9113 0.5546 0.5000  2 Ho 3.17, 6 Tm 3.18-3.23, 3 Hg 3.21-3.52

Calculated values
As for the crystal system: orthorhombic. The symmetry is Cmmm (65). The formation energy from the elements comes out at -0.362 eV/atom. For the calculated volume, the calculation gives 610.9 Å³ per cell.

(6)
Compound: HoTmHg3
Source: Alexandria via LeMat-Bulk
Functional: GGA-PBE
Structure: relaxed

Cell lengths 11.4314, 11.4314, 11.4314 Å; angles 151.28, 151.28, 41.07 degrees
Closest atoms and distances in Å follow each position.
Fractional coordinates of all 10 atoms:
Ho 0.0000 0.0000 0.0000  8 Hg 2.95-3.08
Ho 0.7500 0.2500 0.5000  4 Hg 2.98
Tm 0.4150 0.4150 0.0000  6 Hg 3.01-3.31
Tm 0.5850 0.5850 0.0000  6 Hg 3.01-3.31
Hg 0.0373 0.5373 0.5000  2 Ho 2.95, 2 Tm 3.01
Hg 0.3743 0.1284 0.2459  2 Hg 2.79-2.88, 2 Ho 2.98-3.08
Hg 0.4627 0.9627 0.5000  2 Ho 2.95, 2 Tm 3.01
Hg 0.8716 0.1174 0.2459  2 Hg 2.79-2.88, 2 Ho 2.98-3.08
Hg 0.8716 0.6257 0.7541  2 Hg 2.79-2.88, 2 Ho 2.98-3.08
Hg 0.8826 0.1284 0.7541  2 Hg 2.79-2.88, 2 Ho 2.98-3.08

Calculated values
As for the crystal system: tetragonal. The symmetry is I-4m2 (119). The formation energy from the elements comes out at 0.077 eV/atom. For the calculated volume, the calculation gives 344.3 Å³ per cell.

no.,energy (eV/atom)
1,-1.642
2,-2.906
3,-4.022
4,-3.170
5,-2.940
6,-1.914